(1)
{"formula": "TlHg2As", "functional": "PBEsol", "state": "optimized geometry", "ef_ev_per_atom": 0.17, "m_tot_mub_per_fu": 0.0, "relative_energy_mev_per_atom": 23.3, "spacegroup": "Pmmm (47)", "lattice_angstrom": [[-0.6500, -2.3451, 2.4394], [-2.1388, -2.9603, -3.4157], [4.8368, -2.3618, -0.9817]], "species": ["As", "Hg", "Hg", "Tl"], "fractional_positions": [[0.0000, 0.5000, 0.5000], [0.5000, 0.0000, 0.5000], [0.0000, 0.0000, 0.0000], [0.5000, 0.5000, 0.0000]]}

(2)
{"formula": "TlHgAs2", "functional": "PBEsol", "state": "optimized geometry", "ef_ev_per_atom": 0.30, "m_tot_mub_per_fu": 0.0, "relative_energy_mev_per_atom": 267.4, "spacegroup": "Immm (71)", "lattice_angstrom": [[3.7204, 0.0000, 0.0000], [0.0000, 4.6942, 0.0000], [-1.8602, -2.3471, 5.0792]], "species": ["Tl", "As", "As", "Hg"], "fractional_positions": [[0.0000, 0.5000, 0.0000], [0.2341, 0.2341, 0.4682], [0.7659, 0.7659, 0.5318], [0.5000, 0.0000, 0.0000]]}

(3)
{"formula": "TlHg2As", "functional": "PBEsol", "state": "optimized geometry", "ef_ev_per_atom": 0.16, "m_tot_mub_per_fu": 0.0, "relative_energy_mev_per_atom": 9.5, "spacegroup": "Immm (71)", "lattice_angstrom": [[3.3820, 0.0000, 0.0000], [0.0000, 5.4462, 0.0000], [-1.6910, -2.7231, 5.1158]], "species": ["Tl", "Hg", "Hg", "As"], "fractional_positions": [[0.5000, 0.0000, 0.0000], [0.7303, 0.7303, 0.4606], [0.2697, 0.2697, 0.5394], [0.0000, 0.5000, 0.0000]]}

(4)
{"formula": "Tl3HgAs", "functional": "PBEsol", "state": "optimized geometry", "ef_ev_per_atom": 0.35, "m_tot_mub_per_fu": 0.0, "relative_energy_mev_per_atom": 0.0, "spacegroup": "Pm-3m (221)", "lattice_angstrom": [[-5.4507, 0.7619, -0.5404], [-0.9216, -3.8663, 3.8451], [0.1520, 3.8799, 3.9377]], "species": ["Tl", "Tl", "Tl", "As", "Hg"], "fractional_positions": [[0.0000, 0.0000, 0.5000], [0.0000, 0.5000, 0.0000], [0.5000, 0.0000, 0.0000], [0.0000, 0.0000, 0.0000], [0.5000, 0.5000, 0.5000]]}